No. 1
Below is an optimized crystal structure of PdAu2Br6, with properties calculated at the PBE level.

```
PdAu2Br6
1.0
7.0576 -1.7206 -1.6657
0.3873 9.0131 0.5525
0.3873 0.8442 8.9904
Br Au Pd
12 4 2
Cartesian
1.6285 6.1685 0.2847 Br
0.9160 6.0532 5.8781 Br
2.7356 2.8057 8.4338 Br
3.3874 2.9259 2.8505 Br
5.0966 5.3311 -0.5565 Br
6.9162 2.0835 1.9992 Br
4.4448 5.2108 5.0267 Br
2.6749 8.5126 2.5541 Br
1.5678 0.4768 6.1791 Br
6.2037 1.9683 7.5925 Br
5.1573 -0.3758 5.3232 Br
6.2644 7.6600 1.6981 Br
6.7330 6.4675 5.0381 Au
1.0992 1.6692 2.8391 Au
4.6280 2.0314 0.7435 Au
3.2042 6.1053 7.1337 Au
5.6805 -0.4394 7.7342 Pd
2.1517 8.5761 0.1431 Pd
```

Summary:
Spin magnetization, μB per formula unit: 0.00
Fermi-level density of states, states/eV/f.u.: 5.38
VASP energy, eV/atom: -2.563
Formation energy (no corrections), eV per atom: -0.142
Symmetry: C2/c

---

No. 2
Below is an optimized crystal structure of LiMnI2, with properties calculated at the PBE level.

```
LiMnI2
1.0
-4.7477 2.4282 3.5653
2.4762 -2.8072 5.2093
2.2570 4.8359 5.4827
Mn I Li
2 4 2
Cartesian
0.0000 0.0000 0.0000 Mn
-1.8132 3.5373 6.7177 Mn
0.8293 3.4980 7.3781 I
1.5407 -0.2534 5.0554 I
-2.1158 2.3871 4.2669 I
-0.2832 3.2821 11.8143 I
-1.1358 -0.1895 4.3873 Li
1.7987 0.9196 7.5396 Li
```

Summary:
Spin magnetization, μB per formula unit: 4.00
Fermi-level density of states, states/eV/f.u.: 3.35
VASP energy, eV/atom: -3.905
Formation energy (no corrections), eV per atom: -0.359
Symmetry: I-42d

---

No. 3
Below is an optimized crystal structure of NiIr2Ru, with properties calculated at the PBE level.

```
NiIr2Ru
1.0
-3.0111 2.1371 0.6821
-1.6073 -2.1571 -0.3371
-1.2106 -3.2580 4.8633
Ru Ir Ni
1 2 1
Cartesian
-3.6190 -2.9928 3.7357 Ru
-1.4102 -2.7007 2.2361 Ir
-1.6061 -2.1639 -0.3101 Ir
-2.2100 -0.2852 1.4726 Ni
```

Summary:
Spin magnetization, μB per formula unit: 0.00
Fermi-level density of states, states/eV/f.u.: 4.63
VASP energy, eV/atom: -8.206
Calculated formation energy, eV per formula unit: 0.0
Symmetry: Pmmm

---

No. 4
Below is an optimized crystal structure of CoMo2Cl, with properties calculated at the PBE level.

```
CoMo2Cl
1.0
2.9557 0.0000 0.0000
0.0000 4.4717 0.0000
0.0000 0.0000 4.5033
Mo Cl Co
2 1 1
Cartesian
0.0000 0.0000 0.0000 Mo
1.4778 2.2358 0.0000 Mo
1.4778 0.0000 2.2517 Cl
0.0000 2.2358 2.2517 Co
```

Summary:
Spin magnetization, μB per formula unit: 1.38
Fermi-level density of states, states/eV/f.u.: 4.31
VASP energy, eV/atom: -6.855
Formation energy (no corrections), eV per atom: 0.799
Symmetry: Pmmm

---

No. 5
Below is an optimized crystal structure of BaZr2Pb, with properties calculated at the PBE level.

```
BaZr2Pb
1.0
-4.0007 -0.9173 4.2079
-2.7220 -5.1150 -0.9900
5.7008 1.4086 0.2649
Zr Pb Ba
2 1 1
Cartesian
-3.3613 -3.0162 1.6089 Zr
0.0000 0.0000 0.0000 Zr
-0.8306 -1.2625 3.0408 Pb
-0.1913 -3.3613 0.4419 Ba
```

Summary:
Spin magnetization, μB per formula unit: 0.00
Fermi-level density of states, states/eV/f.u.: 2.90
VASP energy, eV/atom: -5.350
Calculated formation energy, eV per formula unit: 1.3
Symmetry: I4/mmm

---

No. 6
Below is an optimized crystal structure of NaVZn, with properties calculated at the PBE level.

```
NaVZn
1.0
8.2349 0.0000 0.0000
0.0000 5.6460 0.0000
0.0000 0.0000 5.0295
V Na Zn
4 4 4
Cartesian
6.5565 1.4115 2.5153 V
2.4390 1.4115 5.0290 V
1.6784 4.2345 2.5142 V
5.7959 4.2345 0.0005 V
1.1777 1.4115 2.5144 Na
5.2951 1.4115 0.0004 Na
2.9398 4.2345 5.0291 Na
7.0573 4.2345 2.5151 Na
4.1175 2.8230 2.5147 Zn
4.1175 0.0000 2.5147 Zn
0.0000 2.8230 0.0000 Zn
0.0000 0.0000 0.0000 Zn
```

Summary:
Spin magnetization, μB per formula unit: 3.69
Fermi-level density of states, states/eV/f.u.: 2.64
VASP energy, eV/atom: -3.060
Calculated formation energy, eV per formula unit: 2.5
Symmetry: Cmcm

---

No. 7
Below is an optimized crystal structure of Zn2CoB, with properties calculated at the PBE level.

```
Zn2CoB
1.0
-1.2540 1.5946 2.6514
-2.1624 -2.4978 0.4795
3.9701 -4.3965 6.6235
Zn Co B
4 2 2
Cartesian
-0.5195 -2.4561 2.2950 Zn
-0.0051 -4.0801 7.7057 Zn
-0.0577 -0.4196 3.3648 Zn
1.6899 -3.6437 6.1432 Zn
0.5040 -1.6268 5.4201 Co
0.0000 0.0000 0.0000 Co
-1.7082 -0.4516 1.5654 B
0.0498 -3.6729 4.3342 B
```

Summary:
Spin magnetization, μB per formula unit: 0.00
Fermi-level density of states, states/eV/f.u.: 2.49
VASP energy, eV/atom: -3.394
Calculated formation energy, eV per formula unit: 2.8
Symmetry: I-42d

---

No. 8
Below is an optimized crystal structure of Ca2InBiOs, with properties calculated at the PBE level.

```
Ca2InBiOs
1.0
5.6654 0.0000 0.0000
0.0000 4.9456 0.0000
0.0000 0.0000 5.6654
Bi Ca In Os
1 2 1 1
Cartesian
2.8327 2.4728 2.8327 Bi
2.8327 0.0000 0.0000 Ca
0.0000 0.0000 2.8327 Ca
0.0000 0.0000 0.0000 In
0.0000 2.4728 0.0000 Os
```

Summary:
Spin magnetization, μB per formula unit: 0.19
Fermi-level density of states, states/eV/f.u.: 3.59
VASP energy, eV/atom: -3.750
Calculated formation energy, eV per formula unit: 3.1
Symmetry: P4/mmm

---

No. 9
Below is an optimized crystal structure of MoSCl3, with properties calculated at the PBE level.

```
MoSCl3
1.0
-2.2625 -0.0735 -6.4932
-6.7043 -3.5107 -1.2653
-6.2184 10.4916 0.9040
Cl S Mo
12 4 4
Cartesian
-4.0799 2.7638 -4.5829 Cl
-6.2812 5.2701 -3.2549 Cl
-7.7368 8.8803 -1.0191 Cl
-12.9325 5.0979 -5.7379 Cl
-10.9275 2.6908 -6.9357 Cl
-4.2578 4.2166 0.0812 Cl
-11.8821 7.3164 -1.5104 Cl
-2.2527 1.8094 -1.1166 Cl
-11.1053 4.1435 -2.2716 Cl
-3.3032 -0.4090 -5.3441 Cl
-8.9040 1.6373 -3.5995 Cl
-7.4485 -1.9729 -5.8354 Cl
-6.3638 -0.0318 -2.6697 S
-6.1825 0.7318 -0.8208 S
-9.0027 6.1755 -6.0337 S
-8.8214 6.9392 -4.1848 S
-9.1804 -1.6792 -7.4046 Mo
-6.0048 8.5866 0.5501 Mo
-8.4804 0.5280 -1.5652 Mo
-6.7049 6.3794 -5.2893 Mo
```

Summary:
Spin magnetization, μB per formula unit: 1.00
VASP energy, eV/atom: -4.868
Formation energy (no corrections), eV per atom: -0.768
Symmetry: C2/c

---

No. 10
Below is an optimized crystal structure of LaPr2Th, with properties calculated at the PBE level.

```
LaPr2Th
1.0
-1.8780 -0.6513 4.7954
4.8376 -0.0450 1.8884
-0.1954 5.1521 0.6233
Pr La Th
2 1 1
Cartesian
-0.0977 2.5761 0.3116 Pr
2.4188 -0.0225 0.9442 Pr
-0.9390 -0.3257 2.3977 La
1.3822 2.2279 3.6535 Th
```

Summary:
Spin magnetization, μB per formula unit: 0.00
Fermi-level density of states, states/eV/f.u.: 5.69
VASP energy, eV/atom: -5.411
Calculated formation energy, eV per formula unit: 0.3
Symmetry: P4/mmm

---

No. 11
Below is an optimized crystal structure of Cr2InMoN, with properties calculated at the PBE level.

```
Cr2InMoN
1.0
-4.0825 -1.6564 1.5091
1.1993 -4.8100 -2.0350
1.9836 -1.2126 4.0352
Cr In Mo N
2 1 1 1
Cartesian
0.9918 -0.6063 2.0176 Cr
-2.0413 -0.8282 0.7546 Cr
0.5997 -2.4050 -1.0175 In
0.0000 0.0000 0.0000 Mo
-0.4498 -3.8395 1.7547 N
```

Summary:
Spin magnetization, μB per formula unit: 3.70
Fermi-level density of states, states/eV/f.u.: 4.19
VASP energy, eV/atom: -6.150
Formation energy (no corrections), eV per atom: 2.078
Symmetry: P4/mmm

---

No. 12
Below is an optimized crystal structure of Mg2BRu, with properties calculated at the PBE level.

```
Mg2BRu
1.0
-3.4703 -7.1733 3.1695
7.6331 -3.8848 -0.4347
2.4960 -4.9197 3.2006
Mg Ru B
4 2 2
Cartesian
4.3267 -12.7612 4.8610 Mg
4.6207 -8.4410 3.3584 Mg
-0.0508 -5.0827 2.2336 Mg
4.4209 -5.6708 1.4178 Mg
0.5535 -8.8111 3.8687 Ru
0.0000 0.0000 0.0000 Ru
6.1053 -7.1668 2.0667 B
2.0814 -5.5291 1.3674 B
```

Summary:
Spin magnetization, μB per formula unit: 0.00
Fermi-level density of states, states/eV/f.u.: 1.85
VASP energy, eV/atom: -4.442
Calculated formation energy, eV per formula unit: 1.4
Symmetry: I-42d